Density functional theory data (PBE) for a relaxed structure of Li3Sm3AlSe8.

abc: 8.2056 8.2056 19.1269
angles: 90.00 90.00 120.00
Space group R-3m (No. 166, hexagonal axes)
Symmetry-distinct sites (fractional):
1 Li 0.0000 0.5000 0.0000 (multiplicity 9)
2 Sm 0.0000 0.5000 0.5000 (multiplicity 9)
3 Al 0.0000 0.0000 0.5000 (multiplicity 3)
4 Se 0.0000 0.0000 0.2541 (multiplicity 6)
5 Se 0.0320 0.5160 0.2471 (multiplicity 18)

Calculated values
V, Å³/cell: 1115
Total magnetization, μB per cell: 0.00
Formation energy from raw total energies, eV per atom: -1.40



Density functional theory data (PBE) for a relaxed structure of CaNd2Ga4Pd3.

abc: 4.299 4.299 11.543
angles: 90.00 90.00 90.00
Space group P-4m2 (No. 115)
Symmetry-distinct sites (fractional):
1 Ca 0.000 0.000 0.000 (multiplicity 1)
2 Nd 0.000 0.500 0.722 (multiplicity 2)
3 Ga 0.000 0.000 0.500 (multiplicity 1)
4 Ga 0.000 0.500 0.168 (multiplicity 2)
5 Ga 0.500 0.500 0.500 (multiplicity 1)
6 Pd 0.000 0.500 0.381 (multiplicity 2)
7 Pd 0.500 0.500 0.000 (multiplicity 1)

Calculated values
V, Å³/cell: 213
DFT formation energy, kJ/mol of formula units: -651
Total magnetization, μB per cell: 0.00



Density functional theory data (PBE) for a relaxed structure of YW3.

abc: 5.697 9.535 5.602
angles: 90.00 90.00 90.00
Space group Pnma (No. 62)
Symmetry-distinct sites (fractional):
1 Y 0.023 0.250 0.152 (multiplicity 4)
2 W 0.062 0.750 0.332 (multiplicity 4)
3 W 0.223 0.030 0.643 (multiplicity 8)

Calculated values
V, Å³/cell: 304
DFT formation energy, kJ/mol of formula units: 224
Total magnetization, μB per cell: 0.00
Energy above the lowest structure with this stoichiometry, meV per atom: 193



Density functional theory data (PBE) for a relaxed structure of MgNbNi2.

abc: 2.812 2.812 7.203
angles: 90.00 90.00 90.00
Space group P4/mmm (No. 123)
Symmetry-distinct sites (fractional):
1 Mg 0.000 0.000 0.000 (multiplicity 1)
2 Nb 0.000 0.000 0.500 (multiplicity 1)
3 Ni 0.500 0.500 0.247 (multiplicity 2)

Calculated values
V, Å³/cell: 57
DFT formation energy, kJ/mol of formula units: -65
Total magnetization, μB per cell: 0.00



Density functional theory data (PBE) for a relaxed structure of ErZn2GaNi4.

abc: 4.2101 4.2101 21.7647
angles: 90.00 90.00 120.00
Space group R-3m (No. 166, hexagonal axes)
Symmetry-distinct sites (fractional):
1 Er 0.0000 0.0000 0.0000 (multiplicity 3)
2 Zn 0.0000 0.0000 0.2478 (multiplicity 6)
3 Ga 0.0000 0.0000 0.5000 (multiplicity 3)
4 Ni 0.0000 0.0000 0.1294 (multiplicity 6)
5 Ni 0.0000 0.0000 0.3925 (multiplicity 6)

Calculated values
V, Å³/cell: 334
DFT formation energy, kJ/mol of formula units: -247
Total magnetization, μB per cell: 0.00



Density functional theory data (PBE) for a relaxed structure of Yb2HfGaO6.

abc: 5.493 5.497 5.530
angles: 61.00 60.93 60.53
Space group P-1 (No. 2)
Symmetry-distinct sites (fractional):
1 Yb 0.243 0.249 0.280 (multiplicity 2)
2 Hf 0.000 0.000 0.000 (multiplicity 1)
3 Ga 0.500 0.500 0.500 (multiplicity 1)
4 O 0.196 0.687 0.314 (multiplicity 2)
5 O 0.250 0.260 0.854 (multiplicity 2)
6 O 0.315 0.808 0.682 (multiplicity 2)

Calculated values
V, Å³/cell: 120
Total magnetization, μB per cell: 1.05
Formation energy from raw total energies, eV per atom: -2.81



Density functional theory data (PBE) for a relaxed structure of Sr2TaB.

abc: 11.117 11.117 4.345
angles: 90.00 90.00 90.00
Space group I-42d (No. 122)
Symmetry-distinct sites (fractional):
1 Sr 0.076 0.250 0.125 (multiplicity 8)
2 Ta 0.000 0.000 0.500 (multiplicity 4)
3 B 0.000 0.000 0.000 (multiplicity 4)

Calculated values
V, Å³/cell: 537
DFT formation energy, kJ/mol of formula units: 302
Total magnetization, μB per cell: 5.52



Density functional theory data (PBE) for a relaxed structure of NaNdIn.

abc: 5.006 16.653 4.397
angles: 90.00 90.00 90.00
Space group Cmcm (No. 63)
Symmetry-distinct sites (fractional):
1 Na 0.000 0.237 0.250 (multiplicity 4)
2 Nd 0.000 0.419 0.750 (multiplicity 4)
3 In 0.000 0.069 0.750 (multiplicity 4)

Calculated values
V, Å³/cell: 367
DFT formation energy, kJ/mol of formula units: -49
Total magnetization, μB per cell: 0.00
Energy above the lowest structure with this stoichiometry, meV per atom: 0